{
  "formula": "Sb2MoW",
  "functional": "PBE",
  "state": "relaxed",
  "magnetic_moment_mub_per_atom": 0.000,
  "density_g_cm3": 11.8,
  "energy_ev_per_atom": -7.553,
  "e_above_lowest_polymorph_mev_per_atom": 284,
  "lattice_angstrom": [[3.323, 0.000, 0.000], [0.000, 3.323, 0.000], [0.000, 0.000, 6.649]],
  "species": ["Sb", "Sb", "Mo", "W"],
  "frac_coords": [[0.000, 0.000, 0.249], [0.000, 0.000, 0.751], [0.500, 0.500, 0.000], [0.500, 0.500, 0.500]]
}